The following is a PBE-GGA calculation of an optimized crystal structure of PrP2Ir, from the Alexandria database.

Values from the calculation:
The value obtained for the calculated total energy is -7.0553 eV/atom. The value obtained for the density of states at the Fermi level is 2.1 states/eV/cell. The energy above the lowest structure with this stoichiometry comes out at 0.0000 eV/atom. Its space group is I-4m2, No. 119. As for the volume: 19.703 Å³/atom. As for the formation energy: -0.9402 eV per atom.

Lattice parameters (Å, degrees): 4.022 4.022 5.639 110.86 110.85 90.05
Fractional coordinates of all 4 atoms:
Pr (0.221, 0.881, 0.228)
P (0.847, 0.507, 0.478)
P (0.596, 0.256, 0.978)
Ir (0.472, 0.631, 0.728)